PBE-GGA La2PrGe3PdPt2, optimized geometry; energy = -0.222 Ha/atom
1.0
4.077 0.000 0.000
0.000 6.442 3.733
0.000 -6.442 3.733
La Pr Ge Pd Pt
2 1 3 1 2
Direct
0.000 0.206 0.794
0.000 0.794 0.206
0.000 0.383 0.383
0.500 0.040 0.040
0.500 0.548 0.791
0.500 0.791 0.548
0.000 0.793 0.793
0.500 0.124 0.459
0.500 0.459 0.124

PBE-GGA UInCl6, optimized geometry; energy = -0.169 Ha/atom
1.0
6.941 0.000 0.000
-3.468 6.017 0.000
-3.469 -2.001 6.425
U In Cl
1 1 6
Direct
0.000 0.000 0.000
0.000 0.500 0.500
0.160 0.951 0.772
0.179 0.792 0.228
0.436 0.387 0.228
0.564 0.613 0.772
0.821 0.208 0.772
0.840 0.049 0.228

PBE-GGA Er3Al2, optimized geometry; energy = -0.168 Ha/atom
1.0
8.155 0.000 0.000
0.000 8.155 0.000
0.000 0.000 7.536
Er Al
12 8
Direct
0.000 0.500 0.250
0.000 0.500 0.750
0.151 0.151 0.000
0.201 0.201 0.500
0.299 0.701 0.000
0.349 0.651 0.500
0.500 0.000 0.250
0.500 0.000 0.750
0.651 0.349 0.500
0.701 0.299 0.000
0.799 0.799 0.500
0.849 0.849 0.000
0.119 0.881 0.303
0.119 0.881 0.697
0.381 0.381 0.197
0.381 0.381 0.803
0.619 0.619 0.197
0.619 0.619 0.803
0.881 0.119 0.303
0.881 0.119 0.697

PBE-GGA ZnCoHgAs, optimized geometry; E above lowest polymorph = 95 meV/atom
1.0
6.463 0.000 0.000
0.000 6.463 0.000
0.000 0.000 6.463
Zn Co Hg As
4 4 4 4
Direct
0.000 0.000 0.000
0.000 0.500 0.500
0.500 0.000 0.500
0.500 0.500 0.000
0.250 0.250 0.750
0.250 0.750 0.250
0.750 0.250 0.250
0.750 0.750 0.750
0.250 0.250 0.250
0.250 0.750 0.750
0.750 0.250 0.750
0.750 0.750 0.250
0.000 0.000 0.500
0.000 0.500 0.000
0.500 0.000 0.000
0.500 0.500 0.500